ReAg: relaxed, PBE.

abc: 6.1137 6.1137 6.1137
angles: 96.56 96.56 140.48
Element x y z (fractional)
Re (0.1559, 0.1559, 0.3119)
Re (0.1559, 0.8441, 0.0000)
Re (0.8441, 0.1559, 0.0000)
Re (0.8441, 0.8441, 0.6881)
Ag (0.1811, 0.5000, 0.6811)
Ag (0.5000, 0.1811, 0.6811)
Ag (0.5000, 0.8189, 0.3189)
Ag (0.8189, 0.5000, 0.3189)

Summary:
Total moment   0.0 Bohr magnetons per cell
ΔE to the lowest computed polymorph   1.02 eV/f.u.
DOS(E_F)   1.271 states/eV/f.u.
Formation energy   0.76 eV/atom
E_tot   -6.892 eV per atom
Symmetry   No. 139